#a
The following is a PBE calculation of Pm after structural relaxation, from OQMD.

a = 8.810 Å, b = 8.810 Å, c = 8.810 Å
α = 90.00°, β = 90.00°, γ = 90.00°
Positions (direct):
Pm 0.045 0.125 0.795
Pm 0.062 0.938 0.438
Pm 0.125 0.795 0.045
Pm 0.188 0.188 0.188
Pm 0.205 0.545 0.375
Pm 0.295 0.455 0.875
Pm 0.312 0.812 0.688
Pm 0.375 0.205 0.545
Pm 0.438 0.062 0.938
Pm 0.455 0.875 0.295
Pm 0.545 0.375 0.205
Pm 0.562 0.562 0.562
Pm 0.625 0.705 0.955
Pm 0.688 0.312 0.812
Pm 0.705 0.955 0.625
Pm 0.795 0.045 0.125
Pm 0.812 0.688 0.312
Pm 0.875 0.295 0.455
Pm 0.938 0.438 0.062
Pm 0.955 0.625 0.705

Properties
crystal system: cubic

---

#b
The following is a PBE calculation of Pm after structural relaxation, from OQMD.

a = 4.126 Å, b = 4.126 Å, c = 6.751 Å
α = 90.00°, β = 90.00°, γ = 120.00°
Positions (direct):
Pm 0.000 0.331 0.167
Pm 0.331 0.000 0.833
Pm 0.669 0.669 0.500

Properties
crystal system: trigonal

---

Q: What are the energies relative to the best structure? A: #a 0.0; #b 33.7, in kJ/mol of atoms.

---

#a
The following is a PBE calculation of PmPr2 after structural relaxation, from OQMD.

a = 9.254 Å, b = 9.254 Å, c = 9.254 Å
α = 60.00°, β = 60.00°, γ = 60.00°
Positions (direct):
Pm 0.125 0.125 0.125
Pm 0.875 0.875 0.875
Pr 0.000 0.000 0.000
Pr 0.000 0.000 0.500
Pr 0.000 0.500 0.000
Pr 0.500 0.000 0.000

Properties
crystal system: cubic

---

#b
The following is a PBE calculation of PmPr2 after structural relaxation, from OQMD.

a = 6.748 Å, b = 6.748 Å, c = 6.748 Å
α = 60.00°, β = 60.00°, γ = 60.00°
Positions (direct):
Pm 0.125 0.125 0.125
Pm 0.875 0.875 0.875
Pr 0.000 0.500 0.500
Pr 0.500 0.000 0.500
Pr 0.500 0.500 0.000
Pr 0.500 0.500 0.500

Properties
crystal system: cubic

---

Q: What are the energies relative to the best structure? A: #a 218.4; #b 0.0, in kJ/mol of atoms.

---

#a
The following is a PBE calculation of TbPmPr after structural relaxation, from OQMD.

a = 5.527 Å, b = 5.527 Å, c = 5.527 Å
α = 60.00°, β = 60.00°, γ = 60.00°
Positions (direct):
Tb 0.000 0.000 0.000
Pm 0.750 0.750 0.750
Pr 0.500 0.500 0.500

Properties
crystal system: cubic

---

#b
The following is a PBE calculation of TbPmPr after structural relaxation, from OQMD.

a = 4.402 Å, b = 4.402 Å, c = 5.995 Å
α = 90.00°, β = 90.00°, γ = 90.00°
Positions (direct):
Tb 0.000 0.000 0.000
Pm 0.000 0.000 0.500
Pr 0.500 0.500 0.500

Properties
crystal system: tetragonal

---

Q: What are the energies relative to the best structure? A: #a 0.0; #b 6.2, in kJ/mol of atoms.

---

#a
The following is a PBE calculation of PmZnPt after structural relaxation, from OQMD.

a = 7.135 Å, b = 4.218 Å, c = 8.253 Å
α = 90.00°, β = 90.00°, γ = 90.00°
Positions (direct):
Pm 0.038 0.250 0.191
Pm 0.462 0.750 0.691
Pm 0.538 0.250 0.309
Pm 0.962 0.750 0.809
Zn 0.143 0.250 0.567
Zn 0.357 0.750 0.067
Zn 0.643 0.250 0.933
Zn 0.857 0.750 0.433
Pt 0.242 0.750 0.385
Pt 0.258 0.250 0.885
Pt 0.742 0.750 0.115
Pt 0.758 0.250 0.615

Properties
crystal system: orthorhombic

---

#b
The following is a PBE calculation of PmZnPt after structural relaxation, from OQMD.

a = 4.775 Å, b = 4.775 Å, c = 4.775 Å
α = 60.00°, β = 60.00°, γ = 60.00°
Positions (direct):
Pm 0.000 0.000 0.000
Zn 0.250 0.250 0.250
Pt 0.750 0.750 0.750

Properties
crystal system: cubic

---

Q: What are the energies relative to the best structure? A: #a 0.0; #b 65.0, in kJ/mol of atoms.